<A>
Below is a relaxed structure of Zr2GaAs, with properties calculated at the PBE level.

Results
Its density of states at the Fermi level is 2.38 states/eV/cell. As for the space group: R3m (160). The calculation puts the total magnetic moment at 0.000 Bohr magnetons per cell.

The structure in extended XYZ format:
```
4
Lattice="3.647 0.000 0.000 1.824 3.159 0.000 1.824 1.053 7.322" Properties=species:S:1:pos:R:3 pbc="T T T"
As 5.471 3.159 7.303
Zr 1.824 1.053 5.690
Zr 1.824 1.053 1.630
Ga 3.647 2.106 3.681
```

<B>
Below is a relaxed structure of Zr2GaAs, with properties calculated at the PBE level.

Results
Its density of states at the Fermi level is 1.92 states/eV/cell. As for the space group: I-42d (122). The calculation puts the total magnetic moment at 0.000 Bohr magnetons per cell.

The structure in extended XYZ format:
```
8
Lattice="-2.545 -2.094 -4.816 -3.369 -3.455 3.282 -7.536 2.012 -0.429" Properties=species:S:1:pos:R:3 pbc="T T T"
Zr -4.306 -1.917 1.344
Zr -10.828 -3.348 -1.662
Zr -3.897 -1.239 -2.709
Zr -7.868 -0.570 -0.899
As -6.519 -1.428 -3.006
As 0.000 0.000 0.000
Ga -2.957 -2.775 -0.767
Ga -6.931 -2.108 1.043
```

The winner here is <A>, beating the second structure by 822 meV/atom.

<A>
Below is a relaxed structure of ZrGa3As, with properties calculated at the PBE level.

Results
Its density of states at the Fermi level is 4.14 states/eV/cell. As for the space group: Pm-3m (221). The calculation puts the total magnetic moment at 0.000 Bohr magnetons per cell.

The structure in extended XYZ format:
```
5
Lattice="5.231 0.000 0.000 0.000 5.231 0.000 0.000 0.000 5.231" Properties=species:S:1:pos:R:3 pbc="T T T"
Zr 0.000 0.000 0.000
As 2.616 2.616 2.616
Ga 0.000 0.000 2.616
Ga 2.616 0.000 0.000
Ga 0.000 2.616 0.000
```

<B>
Below is a relaxed structure of ZrGa3As, with properties calculated at the PBE level.

Results
Its density of states at the Fermi level is 3.96 states/eV/cell. As for the space group: Pm-3m (221). The calculation puts the total magnetic moment at 0.000 Bohr magnetons per cell.

The structure in extended XYZ format:
```
5
Lattice="4.852 0.000 0.000 0.000 4.852 0.000 0.000 0.000 4.852" Properties=species:S:1:pos:R:3 pbc="T T T"
Ga 0.000 0.000 2.426
Ga 2.426 0.000 0.000
Ga 0.000 2.426 0.000
Zr 2.426 2.426 2.426
As 0.000 0.000 0.000
```

The winner here is <B>, beating the second structure by 211 meV/atom.

<A>
Below is a relaxed structure of NdGd2As, with properties calculated at the PBE level.

Results
Its density of states at the Fermi level is 4.82 states/eV/cell. As for the space group: P4/mmm (123). The calculation puts the total magnetic moment at 15.334 Bohr magnetons per cell.

The structure in extended XYZ format:
```
4
Lattice="3.755 0.000 0.000 0.000 3.755 0.000 0.000 0.000 8.038" Properties=species:S:1:pos:R:3 pbc="T T T"
Gd 0.000 0.000 6.468
Gd 0.000 0.000 1.570
As 1.877 1.877 0.000
Nd 1.877 1.877 4.019
```

<B>
Below is a relaxed structure of NdGd2As, with properties calculated at the PBE level.

Results
Its density of states at the Fermi level is 4.46 states/eV/cell. As for the space group: R-3m (166). The calculation puts the total magnetic moment at 14.132 Bohr magnetons per cell.

The structure in extended XYZ format:
```
4
Lattice="-3.531 -1.113 -1.203 -0.351 -2.418 -3.031 -0.955 -8.724 4.570" Properties=species:S:1:pos:R:3 pbc="T T T"
Gd -1.232 -2.563 -0.313
Gd -3.606 -9.692 0.649
Nd -2.419 -6.127 0.168
As 0.000 0.000 0.000
```

The winner here is <B>, beating the second structure by 34 meV/atom.

<A>
Below is a relaxed structure of Nd2GdAs, with properties calculated at the PBE level.

Results
Its density of states at the Fermi level is 4.72 states/eV/cell. As for the space group: P4/mmm (123). The calculation puts the total magnetic moment at 8.757 Bohr magnetons per cell.

The structure in extended XYZ format:
```
4
Lattice="3.883 0.000 0.000 0.000 3.883 0.000 0.000 0.000 7.745" Properties=species:S:1:pos:R:3 pbc="T T T"
Gd 1.942 1.942 3.872
Nd 0.000 0.000 1.575
Nd 0.000 0.000 6.170
As 1.942 1.942 0.000
```

<B>
Below is a relaxed structure of Nd2GdAs, with properties calculated at the PBE level.

Results
Its density of states at the Fermi level is 6.27 states/eV/cell. As for the space group: R-3m (166). The calculation puts the total magnetic moment at 8.770 Bohr magnetons per cell.

The structure in extended XYZ format:
```
4
Lattice="4.016 0.000 0.000 2.008 3.478 0.000 2.008 1.159 9.528" Properties=species:S:1:pos:R:3 pbc="T T T"
Gd 4.016 2.319 4.764
Nd 2.008 1.159 1.780
Nd 6.024 3.478 7.747
As 0.000 0.000 0.000
```

The winner here is <B>, beating the second structure by 45 meV/atom.

<A>
Below is a relaxed structure of Gd2AsPb, with properties calculated at the PBE level.

Results
Its density of states at the Fermi level is 2.31 states/eV/cell. As for the space group: R-3m (166). The calculation puts the total magnetic moment at 14.160 Bohr magnetons per cell.

The structure in extended XYZ format:
```
4
Lattice="4.089 0.000 0.000 2.045 3.541 0.000 2.045 1.180 7.829" Properties=species:S:1:pos:R:3 pbc="T T T"
Pb 4.089 2.361 3.915
Gd 2.045 1.180 1.668
Gd 6.134 3.541 6.161
As 0.000 0.000 0.000
```

<B>
Below is a relaxed structure of Gd2AsPb, with properties calculated at the PBE level.

Results
Its density of states at the Fermi level is 2.61 states/eV/cell. As for the space group: P4/mmm (123). The calculation puts the total magnetic moment at 14.676 Bohr magnetons per cell.

The structure in extended XYZ format:
```
4
Lattice="3.589 0.000 0.000 0.000 3.589 0.000 0.000 0.000 8.150" Properties=species:S:1:pos:R:3 pbc="T T T"
Gd 0.000 0.000 1.721
Gd 0.000 0.000 6.429
Pb 1.794 1.794 4.075
As 1.794 1.794 0.000
```

The winner here is <A>, beating the second structure by 152 meV/atom.

<A>
Below is a relaxed structure of PrGd2As, with properties calculated at the PBE level.

Results
Its density of states at the Fermi level is 4.59 states/eV/cell. As for the space group: P4/mmm (123). The calculation puts the total magnetic moment at 15.284 Bohr magnetons per cell.

The structure in extended XYZ format:
```
4
Lattice="3.757 0.000 0.000 0.000 3.757 0.000 0.000 0.000 8.080" Properties=species:S:1:pos:R:3 pbc="T T T"
As 1.878 1.878 0.000
Gd 0.000 0.000 1.569
Gd 0.000 0.000 6.511
Pr 1.878 1.878 4.040
```

<B>
Below is a relaxed structure of PrGd2As, with properties calculated at the PBE level.

Results
Its density of states at the Fermi level is 4.60 states/eV/cell. As for the space group: R-3m (166). The calculation puts the total magnetic moment at 15.578 Bohr magnetons per cell.

The structure in extended XYZ format:
```
4
Lattice="-2.230 0.230 -3.110 -0.610 -3.111 -2.156 -9.307 -3.351 4.061" Properties=species:S:1:pos:R:3 pbc="T T T"
Pr 0.000 0.000 0.000
Gd -6.517 -2.553 2.120
Gd -5.629 -3.678 -3.325
As -6.073 -3.116 -0.603
```

The winner here is <A>, beating the second structure by 121 meV/atom.